Computed, not measured: an optimized crystal structure of Tb2PrSm at the PBE-GGA level of DFT.

Geometry as POSCAR:
```
Tb2PrSm
1.0
0.000 4.066 4.066
4.066 0.000 4.066
4.066 4.066 0.000
Tb Pr Sm
2 1 1
direct
0.250 0.250 0.250
0.750 0.750 0.750
0.000 0.000 0.000
0.500 0.500 0.500
```

Computed properties:
E above lowest polymorph: 131.2 meV per atom
Formation enthalpy at 0 K: 0.51 eV per formula unit
Space group: Fm-3m
Density of states at the Fermi level: 2.13 states/eV per atom